(1)
Below is a relaxed PuHf2Al crystal, with properties calculated at the GGA-PBE level.

Cell lengths 3.138, 3.138, 8.649 Å; angles 90.00, 90.00, 90.00 degrees
Last column: magnetic moment on the atom in μB.
Atoms (fractional coordinates):
Hf1 0.000 0.000 0.725  -0.01
Hf2 0.000 0.000 0.275  -0.01
Al1 0.500 0.500 0.500  0.01
Pu1 0.500 0.500 0.000  5.15

Summary:
Polymorph energy (0 for the lowest one)   0 meV/atom
Space-group type   No. 123
N(E_F)   5.1 states/eV/cell
E_form   -86 meV per atom

=====

(2)
Below is a relaxed MnAl2In crystal, with properties calculated at the GGA-PBE level.

Cell lengths 9.070, 9.070, 9.070 Å; angles 19.21, 19.21, 19.21 degrees
Last column: magnetic moment on the atom in μB.
Atoms (fractional coordinates):
Mn1 0.745 0.745 0.745  3.17
Al1 0.005 0.005 0.005  -0.03
Al2 0.255 0.255 0.255  0.01
In1 0.496 0.496 0.496  -0.02

Summary:
Space-group type   No. 160
N(E_F)   2.3 states/eV/cell
E_form   128 meV per atom

=====

(3)
Below is a relaxed Rb2BeI6O crystal, with properties calculated at the GGA-PBE level.

Cell lengths 7.726, 7.726, 8.063 Å; angles 61.37, 61.37, 90.00 degrees
Atoms (fractional coordinates):
I1 0.202 0.202 0.596
I2 0.798 0.798 0.404
I3 0.271 0.271 0.000
I4 0.729 0.729 0.000
I5 0.729 0.271 0.000
I6 0.271 0.729 0.000
Be1 0.500 0.500 0.000
O1 0.000 0.000 0.000
Rb1 0.750 0.250 0.500
Rb2 0.250 0.750 0.500

Summary:
Space-group type   No. 139
Electronic total energy   -2.435 eV/atom
N(E_F)   4.8 states/eV/cell

=====

(4)
Below is a relaxed Pm3Tm5Sb8 crystal, with properties calculated at the GGA-PBE level.

Cell lengths 8.799, 8.799, 8.791 Å; angles 59.97, 59.97, 60.00 degrees
Atoms (fractional coordinates):
Pm1 0.500 0.000 0.500
Pm2 0.000 0.000 0.500
Pm3 0.000 0.500 0.500
Tm1 0.500 0.000 0.000
Tm2 0.500 0.500 0.000
Tm3 0.000 0.000 0.000
Tm4 0.000 0.500 0.000
Tm5 0.500 0.500 0.500
Sb1 0.250 0.250 0.757
Sb2 0.250 0.743 0.757
Sb3 0.743 0.250 0.757
Sb4 0.747 0.747 0.760
Sb5 0.750 0.750 0.243
Sb6 0.750 0.257 0.243
Sb7 0.257 0.750 0.243
Sb8 0.253 0.253 0.240

Summary:
Space-group type   No. 166
Electronic total energy   -5.455 eV/atom
N(E_F)   2.7 states/eV/cell

=====

Copy entry 1 word for word.
Below is a relaxed PuHf2Al crystal, with properties calculated at the GGA-PBE level.

Cell lengths 3.138, 3.138, 8.649 Å; angles 90.00, 90.00, 90.00 degrees
Last column: magnetic moment on the atom in μB.
Atoms (fractional coordinates):
Hf1 0.000 0.000 0.725  -0.01
Hf2 0.000 0.000 0.275  -0.01
Al1 0.500 0.500 0.500  0.01
Pu1 0.500 0.500 0.000  5.15

Summary:
Polymorph energy (0 for the lowest one)   0 meV/atom
Space-group type   No. 123
N(E_F)   5.1 states/eV/cell
E_form   -86 meV per atom

=====

> What is the N(E_F) in the first record?

5.1 states/eV/cell

=====

> Look up the N(E_F) of the first one.

5.1 states/eV/cell

=====

> Which value of N(E_F) does entry 3 give?

4.8 states/eV/cell